Material: BeNi3Ru
Method: DFT, GGA-PBE
State: relaxed

- magnetic moment (μB/f.u.) = 1.8
- DFT formation energy (meV per atom) = 1606
- D(E_F) (states/eV/atom) = 1.614
- total energy (eV per atom) = -4.46
- energy relative to the lowest polymorph listed for this composition (eV per atom) = 1.118

```
5
Lattice="4.4377 0.0000 0.0000 0.0000 4.4377 0.0000 0.0000 0.0000 4.4377" Properties=species:S:1:pos:R:3 pbc="T T T"
Ru 0.0000 0.0000 0.0000
Be 2.2189 2.2189 2.2189
Ni 0.0000 2.2189 0.0000
Ni 0.0000 0.0000 2.2189
Ni 2.2189 0.0000 0.0000
```



Material: Tm6TlTe
Method: DFT, GGA-PBE
State: relaxed

- magnetic moment (μB/f.u.) = 0.0
- D(E_F) (states/eV/atom) = 1.075
- total energy (eV per atom) = -4.13
- uncorrected formation energy (eV/atom) = -0.09

```
8
Lattice="-3.4863 5.6824 1.5683 -0.8101 -5.6300 3.8145 6.5935 1.7756 1.0867" Properties=species:S:1:pos:R:3 pbc="T T T"
Tm 3.7887 1.3339 2.2037
Tm -0.0606 2.8282 1.2142
Tm -1.4916 0.4941 4.2657
Tm 1.2340 3.7496 4.3121
Tm 2.3577 -1.0002 5.2552
Tm 1.0631 -1.9216 2.1573
Tl 0.0000 0.0000 0.0000
Te 1.1485 0.9140 3.2347
```



Material: Rb2HoHgF6
Method: DFT, GGA-PBE
State: relaxed

- magnetic moment (μB/f.u.) = 1.0
- D(E_F) (states/eV/atom) = 0.184
- total energy (eV per atom) = -4.69
- uncorrected formation energy (eV/atom) = -2.88

```
20
Lattice="6.5691 0.0000 0.0000 0.0000 6.9697 0.0000 0.0000 0.0000 9.4226" Properties=species:S:1:pos:R:3 pbc="T T T"
Rb 3.2845 5.4905 2.1718
Rb 0.0000 1.4792 6.8831
Rb 3.2845 5.4905 7.2509
Rb 0.0000 1.4792 2.5396
Ho 3.2845 1.5464 4.7113
Ho 0.0000 5.4233 0.0000
Hg 0.0000 5.0046 4.7113
Hg 3.2845 1.9651 0.0000
F 3.2845 1.4059 2.5469
F 3.2845 1.4059 6.8757
F 0.0000 5.5638 2.1644
F 0.0000 5.5638 7.2582
F 1.7725 6.9451 4.7113
F 4.7966 6.9451 4.7113
F 1.6568 2.9642 4.7113
F 4.9123 2.9642 4.7113
F 4.9413 4.0055 0.0000
F 1.6278 4.0055 0.0000
F 1.5121 0.0246 0.0000
F 5.0570 0.0246 0.0000
```



Material: La2Ce4H
Method: DFT, GGA-PBE
State: relaxed

- magnetic moment (μB/f.u.) = 1.6
- D(E_F) (states/eV/atom) = 2.540
- total energy (eV per atom) = -5.17

```
7
Lattice="4.7133 0.0000 0.0000 0.0000 4.7133 0.0000 2.3566 2.3566 8.2839" Properties=species:S:1:pos:R:3 pbc="T T T"
H 0.0000 0.0000 0.0000
Ce 4.7133 4.7133 2.6138
Ce 2.3566 2.3566 5.6701
Ce 0.0000 2.3566 0.0000
Ce 2.3566 0.0000 0.0000
La 4.7133 4.7133 5.7403
La 2.3566 2.3566 2.5435
```



Material: Ba2SrCa
Method: DFT, GGA-PBE
State: relaxed

- magnetic moment (μB/f.u.) = 0.0
- DFT formation energy (meV per atom) = 23
- D(E_F) (states/eV/atom) = 1.203
- total energy (eV per atom) = -1.86
- energy relative to the lowest polymorph listed for this composition (eV per atom) = 0.004

```
4
Lattice="7.8598 -0.0024 0.0055 3.4798 7.0475 -0.0055 -5.0076 -4.5885 3.9556" Properties=species:S:1:pos:R:3 pbc="T T T"
Sr 2.0711 2.9908 1.9750
Ca 4.2611 -0.5342 1.9806
Ba 11.2898 7.0141 0.0000
Ba 5.7198 3.5536 0.0000
```



Material: SrLiCd2Ni
Method: DFT, GGA-PBE
State: relaxed

- magnetic moment (μB/f.u.) = 0.0
- DFT formation energy (meV per atom) = 22
- D(E_F) (states/eV/atom) = 0.606
- total energy (eV per atom) = -2.22
- energy relative to the lowest polymorph listed for this composition (eV per atom) = 0.115

```
5
Lattice="-0.2786 5.0794 -0.3734 -1.3172 -0.4511 -5.1541 -4.9352 -0.1768 1.2767" Properties=species:S:1:pos:R:3 pbc="T T T"
Sr -0.6586 -0.2256 -2.5770
Li -3.2654 2.2257 -2.1254
Ni 0.0000 0.0000 0.0000
Cd -2.4676 -0.0884 0.6383
Cd -0.1393 2.5397 -0.1867
```